# CeDySb, relaxed, DFT PBE-GGA
# - total DFT energy (no corrections) (eV per atom) = -5.3136
# - density (g cm⁻³) = 7.13
data_CeDySb
_chemical_formula_sum 'Ce1 Dy1 Sb1'
_space_group_name_H-M_alt 'P m m m'
_space_group_IT_number 47
_space_group_name_Hall '-P 2 2'
_cell_length_a 4.134
_cell_length_b 4.780
_cell_length_c 5.004
_cell_angle_alpha 90.00
_cell_angle_beta 90.00
_cell_angle_gamma 90.00
loop_
_atom_site_label
_atom_site_type_symbol
_atom_site_fract_x
_atom_site_fract_y
_atom_site_fract_z
Ce1 Ce 0.000 0.000 0.000
Dy1 Dy 0.000 0.500 0.500
Sb1 Sb 0.500 0.000 0.500

---

# CeDy2Sb, relaxed, DFT PBE-GGA
# - total DFT energy (no corrections) (eV per atom) = -5.2588
# - energy above the most stable polymorph in this dataset (eV per atom) = 0.039
# - density (g cm⁻³) = 8.68
data_CeDy2Sb
_chemical_formula_sum 'Ce1 Dy2 Sb1'
_space_group_name_H-M_alt 'P 4/m m m'
_space_group_IT_number 123
_space_group_name_Hall '-P 4 2'
_cell_length_a 3.932
_cell_length_b 3.932
_cell_length_c 7.260
_cell_angle_alpha 90.00
_cell_angle_beta 90.00
_cell_angle_gamma 90.00
loop_
_atom_site_label
_atom_site_type_symbol
_atom_site_fract_x
_atom_site_fract_y
_atom_site_fract_z
Ce1 Ce 0.000 0.000 0.000
Dy1 Dy 0.500 0.500 0.276
Sb1 Sb 0.000 0.000 0.500

---

# Ce2Dy5Sb4, relaxed, DFT PBE-GGA
# - total DFT energy (no corrections) (eV per atom) = -5.1986
# - density (g cm⁻³) = 7.44
data_Ce2Dy5Sb4
_chemical_formula_sum 'Ce4 Dy10 Sb8'
_space_group_name_H-M_alt 'C 1 2/m 1'
_space_group_IT_number 12
_space_group_name_Hall '-C 2y'
_cell_length_a 22.099
_cell_length_b 4.137
_cell_length_c 7.948
_cell_angle_alpha 90.00
_cell_angle_beta 104.11
_cell_angle_gamma 90.00
loop_
_atom_site_label
_atom_site_type_symbol
_atom_site_fract_x
_atom_site_fract_y
_atom_site_fract_z
Ce1 Ce 0.049 0.000 0.133
Dy1 Dy 0.000 0.500 0.500
Dy2 Dy 0.194 0.000 0.614
Dy3 Dy 0.195 0.000 0.066
Sb1 Sb 0.077 0.000 0.760
Sb2 Sb 0.155 0.500 0.323

---

# Ce5Dy3Sb8, relaxed, DFT PBE-GGA
# - total DFT energy (no corrections) (eV per atom) = -5.8536
# - density (g cm⁻³) = 7.17
data_Ce5Dy3Sb8
_chemical_formula_sum 'Ce15 Dy9 Sb24'
_space_group_name_H-M_alt 'R -3 m'
_space_group_IT_number 166
_space_group_name_Hall '-R 3 2"'
_cell_length_a 8.9118
_cell_length_b 8.9118
_cell_length_c 21.8344
_cell_angle_alpha 90.00
_cell_angle_beta 90.00
_cell_angle_gamma 120.00
loop_
_atom_site_label
_atom_site_type_symbol
_atom_site_fract_x
_atom_site_fract_y
_atom_site_fract_z
Ce1 Ce 0.0000 0.0000 0.0000
Ce2 Ce 0.0000 0.0000 0.5000
Ce3 Ce 0.0000 0.5000 0.0000
Dy1 Dy 0.0000 0.5000 0.5000
Sb1 Sb 0.0000 0.0000 0.2480
Sb2 Sb 0.0030 0.5015 0.7515

---

# Ce2Dy3Sb3, relaxed, DFT PBE-GGA
# - total DFT energy (no corrections) (eV per atom) = -5.6434
# - density (g cm⁻³) = 8.30
data_Ce2Dy3Sb3
_chemical_formula_sum 'Ce4 Dy6 Sb6'
_space_group_name_H-M_alt 'P 63/m c m'
_space_group_IT_number 193
_space_group_name_Hall '-P 6c 2'
_cell_length_a 9.1746
_cell_length_b 9.1746
_cell_length_c 6.2221
_cell_angle_alpha 90.00
_cell_angle_beta 90.00
_cell_angle_gamma 120.00
loop_
_atom_site_label
_atom_site_type_symbol
_atom_site_fract_x
_atom_site_fract_y
_atom_site_fract_z
Ce1 Ce 0.3333 0.6667 0.0000
Dy1 Dy 0.0000 0.2529 0.2500
Sb1 Sb 0.0000 0.3800 0.7500

---

# CeDy2Sb, relaxed, DFT PBE-GGA
# - total DFT energy (no corrections) (eV per atom) = -5.0485
# - energy above the most stable polymorph in this dataset (eV per atom) = 0.250
# - density (g cm⁻³) = 7.43
data_CeDy2Sb
_chemical_formula_sum 'Ce3 Dy6 Sb3'
_space_group_name_H-M_alt 'R -3 m'
_space_group_IT_number 166
_space_group_name_Hall '-R 3 2"'
_cell_length_a 3.9440
_cell_length_b 3.9440
_cell_length_c 29.2120
_cell_angle_alpha 90.00
_cell_angle_beta 90.00
_cell_angle_gamma 120.00
loop_
_atom_site_label
_atom_site_type_symbol
_atom_site_fract_x
_atom_site_fract_y
_atom_site_fract_z
Ce1 Ce 0.0000 0.0000 0.0000
Dy1 Dy 0.0000 0.0000 0.2338
Sb1 Sb 0.0000 0.0000 0.5000

---

# CeDySb, relaxed, DFT PBE-GGA
# - total DFT energy (no corrections) (eV per atom) = -5.3678
# - density (g cm⁻³) = 7.85
data_CeDySb
_chemical_formula_sum 'Ce6 Dy6 Sb6'
_space_group_name_H-M_alt 'R -3 m'
_space_group_IT_number 166
_space_group_name_Hall '-R 3 2"'
_cell_length_a 4.9523
_cell_length_b 4.9523
_cell_length_c 25.3456
_cell_angle_alpha 90.00
_cell_angle_beta 90.00
_cell_angle_gamma 120.00
loop_
_atom_site_label
_atom_site_type_symbol
_atom_site_fract_x
_atom_site_fract_y
_atom_site_fract_z
Ce1 Ce 0.0000 0.0000 0.1427
Dy1 Dy 0.0000 0.0000 0.2890
Sb1 Sb 0.0000 0.0000 0.4152

---

# Ce2DySb4, relaxed, DFT PBE-GGA
# - total DFT energy (no corrections) (eV per atom) = -5.4897
# - density (g cm⁻³) = 7.04
data_Ce2DySb4
_chemical_formula_sum 'Ce2 Dy1 Sb4'
_space_group_name_H-M_alt 'P -4 m 2'
_space_group_IT_number 115
_space_group_name_Hall 'P -4 -2'
_cell_length_a 4.335
_cell_length_b 4.335
_cell_length_c 11.673
_cell_angle_alpha 90.00
_cell_angle_beta 90.00
_cell_angle_gamma 90.00
loop_
_atom_site_label
_atom_site_type_symbol
_atom_site_fract_x
_atom_site_fract_y
_atom_site_fract_z
Ce1 Ce 0.000 0.500 0.213
Dy1 Dy 0.000 0.000 0.500
Sb1 Sb 0.000 0.000 0.000
Sb2 Sb 0.000 0.500 0.684
Sb3 Sb 0.500 0.500 0.000

---

# CeDy2ScSb4, relaxed, DFT PBE-GGA
# - total DFT energy (no corrections) (eV per atom) = -5.7873
# - density (g cm⁻³) = 7.06
data_CeDy2ScSb4
_chemical_formula_sum 'Ce1 Dy2 Sc1 Sb4'
_space_group_name_H-M_alt 'P 1 2/m 1'
_space_group_IT_number 10
_space_group_name_Hall '-P 2y'
_cell_length_a 7.537
_cell_length_b 4.366
_cell_length_c 7.562
_cell_angle_alpha 90.00
_cell_angle_beta 109.43
_cell_angle_gamma 90.00
loop_
_atom_site_label
_atom_site_type_symbol
_atom_site_fract_x
_atom_site_fract_y
_atom_site_fract_z
Ce1 Ce 0.000 0.000 0.000
Dy1 Dy 0.000 0.500 0.500
Dy2 Dy 0.500 0.000 0.500
Sc1 Sc 0.500 0.500 0.000
Sb1 Sb 0.259 0.500 0.249
Sb2 Sb 0.261 0.000 0.758

---

# Ce2SmDySb5, relaxed, DFT PBE-GGA
# - total DFT energy (no corrections) (eV per atom) = -4.8479
# - density (g cm⁻³) = 5.93
data_Ce2SmDySb5
_chemical_formula_sum 'Ce2 Sm1 Dy1 Sb5'
_space_group_name_H-M_alt 'P 4/m m m'
_space_group_IT_number 123
_space_group_name_Hall '-P 4 2'
_cell_length_a 5.383
_cell_length_b 5.383
_cell_length_c 11.621
_cell_angle_alpha 90.00
_cell_angle_beta 90.00
_cell_angle_gamma 90.00
loop_
_atom_site_label
_atom_site_type_symbol
_atom_site_fract_x
_atom_site_fract_y
_atom_site_fract_z
Ce1 Ce 0.000 0.000 0.214
Sm1 Sm 0.500 0.500 0.000
Dy1 Dy 0.500 0.500 0.500
Sb1 Sb 0.000 0.000 0.500
Sb2 Sb 0.000 0.500 0.000
Sb3 Sb 0.500 0.500 0.255

---

# CeSm2DySb4, relaxed, DFT PBE-GGA
# - total DFT energy (no corrections) (eV per atom) = -5.6906
# - density (g cm⁻³) = 7.24
data_CeSm2DySb4
_chemical_formula_sum 'Ce1 Sm2 Dy1 Sb4'
_space_group_name_H-M_alt 'P 1 2/m 1'
_space_group_IT_number 10
_space_group_name_Hall '-P 2y'
_cell_length_a 7.711
_cell_length_b 4.453
_cell_length_c 7.718
_cell_angle_alpha 90.00
_cell_angle_beta 109.36
_cell_angle_gamma 90.00
loop_
_atom_site_label
_atom_site_type_symbol
_atom_site_fract_x
_atom_site_fract_y
_atom_site_fract_z
Ce1 Ce 0.000 0.000 0.000
Sm1 Sm 0.000 0.500 0.500
Sm2 Sm 0.500 0.000 0.500
Dy1 Dy 0.500 0.500 0.000
Sb1 Sb 0.252 0.500 0.248
Sb2 Sb 0.253 0.000 0.754

---

# CeSm2DySb5, relaxed, DFT PBE-GGA
# - total DFT energy (no corrections) (eV per atom) = -4.7648
# - density (g cm⁻³) = 6.15
data_CeSm2DySb5
_chemical_formula_sum 'Ce1 Sm2 Dy1 Sb5'
_space_group_name_H-M_alt 'P 4/m m m'
_space_group_IT_number 123
_space_group_name_Hall '-P 4 2'
_cell_length_a 5.278
_cell_length_b 5.278
_cell_length_c 11.741
_cell_angle_alpha 90.00
_cell_angle_beta 90.00
_cell_angle_gamma 90.00
loop_
_atom_site_label
_atom_site_type_symbol
_atom_site_fract_x
_atom_site_fract_y
_atom_site_fract_z
Ce1 Ce 0.000 0.000 0.000
Sm1 Sm 0.500 0.500 0.278
Dy1 Dy 0.000 0.000 0.500
Sb1 Sb 0.000 0.000 0.248
Sb2 Sb 0.000 0.500 0.500
Sb3 Sb 0.500 0.500 0.000

---

Repeat the fifth record exactly.
# Ce2Dy3Sb3, relaxed, DFT PBE-GGA
# - total DFT energy (no corrections) (eV per atom) = -5.6434
# - density (g cm⁻³) = 8.30
data_Ce2Dy3Sb3
_chemical_formula_sum 'Ce4 Dy6 Sb6'
_space_group_name_H-M_alt 'P 63/m c m'
_space_group_IT_number 193
_space_group_name_Hall '-P 6c 2'
_cell_length_a 9.1746
_cell_length_b 9.1746
_cell_length_c 6.2221
_cell_angle_alpha 90.00
_cell_angle_beta 90.00
_cell_angle_gamma 120.00
loop_
_atom_site_label
_atom_site_type_symbol
_atom_site_fract_x
_atom_site_fract_y
_atom_site_fract_z
Ce1 Ce 0.3333 0.6667 0.0000
Dy1 Dy 0.0000 0.2529 0.2500
Sb1 Sb 0.0000 0.3800 0.7500